## Ti2AlHAu (PBE)

Data for an optimized crystal structure of Ti2AlHAu.

Cell and atoms, written as POSCAR:
```
Ti2AlHAu
1.0
-3.157 2.180 0.629
-0.852 -2.137 3.134
2.389 2.734 2.514
H Au Al Ti
1 1 1 2
Cartesian
0.000 0.000 0.000
-0.810 1.388 3.138
1.195 1.367 1.257
-0.426 -1.069 1.567
-1.578 1.090 0.315
```

- Offset from the most stable computed form: 0 meV/atom
- DOS(E_F): 1.007 states/eV per atom
- Theoretical density: 7.978 g/cm³
- E_tot: -5.62 eV per atom
- Space-group type: P4/mmm, No. 123

---

## SrCrCl2 (PBE)

Data for an optimized crystal structure of SrCrCl2.

Cell and atoms, written as POSCAR:
```
SrCrCl2
1.0
-3.921 1.312 -1.304
1.776 0.098 -5.241
-0.532 -4.873 -3.300
Sr Cl Cr
1 2 1
Cartesian
-1.073 -3.035 -7.032
1.145 -4.597 -8.067
-1.590 -0.927 -3.357
0.706 -2.066 -4.200
```

- Offset from the most stable computed form: 0 meV/atom
- DOS(E_F): 0.314 states/eV per atom
- Theoretical density: 2.820 g/cm³
- E_tot: -4.67 eV per atom
- Space-group type: Pm, No. 6
- Uncorrected formation energy: -0.9184 eV per atom

---

- Among the records above, which one has the highest E_tot?
  SrCrCl2

---

- Among the records above, which one has the highest E_tot?
  SrCrCl2

---

- Number 1 is which compound?
  Ti2AlHAu

---

- The highest DOS(E_F) belongs to which entry?
  Ti2AlHAu